(1)
AgSn3Se: relaxed, PBE.

Values from the calculation:
symmetry = Pm-3m
formation energy without anion corrections = 0.5098 eV/atom
E = -3.16 eV/atom
energy above the most stable polymorph in this dataset = 144 meV/atom

Unit cell a=5.535 b=5.535 c=5.535 alpha=90.00 beta=90.00 gamma=90.00
Fractional coordinates of all 5 atoms:
Sn 0.000 0.000 0.500
Sn 0.000 0.500 0.000
Sn 0.500 0.000 0.000
Se 0.000 0.000 0.000
Ag 0.500 0.500 0.500

(2)
Ag2SnSe: relaxed, PBE.

Values from the calculation:
symmetry = I-42d
formation energy without anion corrections = 0.0523 eV/atom
E = -3.25 eV/atom

Unit cell a=7.747 b=7.747 c=6.241 alpha=51.64 beta=51.64 gamma=90.00
Fractional coordinates of all 8 atoms:
Ag 0.606 0.125 0.250
Ag 0.375 0.394 0.750
Ag 0.144 0.625 0.250
Ag 0.875 0.856 0.750
Sn 0.750 0.250 0.500
Sn 0.000 0.000 0.000
Se 0.250 0.750 0.500
Se 0.500 0.500 0.000

(3)
AgSnSe4: relaxed, PBE.

Values from the calculation:
symmetry = P2/c
formation energy without anion corrections = -0.0420 eV/atom
E = -3.51 eV/atom

Unit cell a=4.971 b=8.065 c=8.064 alpha=90.00 beta=90.00 gamma=90.14
Fractional coordinates of all 12 atoms:
Se 0.226 0.959 0.459
Se 0.774 0.541 0.459
Se 0.226 0.041 0.959
Se 0.226 0.541 0.041
Se 0.774 0.459 0.959
Se 0.774 0.959 0.041
Se 0.226 0.459 0.541
Se 0.774 0.041 0.541
Ag 0.000 0.750 0.250
Ag 0.000 0.250 0.750
Sn 0.500 0.250 0.250
Sn 0.500 0.750 0.750

(4)
Ag3SnSe4: relaxed, PBE.

Values from the calculation:
symmetry = I-42m
formation energy without anion corrections = -0.1866 eV/atom
E = -3.50 eV/atom

Unit cell a=6.063 b=6.063 c=7.454 alpha=114.00 beta=114.00 gamma=90.00
Fractional coordinates of all 8 atoms:
Ag 0.750 0.250 0.500
Ag 0.250 0.750 0.500
Ag 0.500 0.500 0.000
Se 0.122 0.629 0.751
Se 0.629 0.122 0.751
Se 0.878 0.878 0.249
Se 0.371 0.371 0.249
Sn 0.000 0.000 0.000

(5)
AgSnSe: relaxed, PBE.

Values from the calculation:
symmetry = I4mm
formation energy without anion corrections = 0.0555 eV/atom
E = -3.39 eV/atom

Unit cell a=3.614 b=3.614 c=5.782 alpha=108.21 beta=108.21 gamma=90.00
Fractional coordinates of all 3 atoms:
Sn 0.623 0.623 0.246
Se 0.284 0.284 0.567
Ag 0.943 0.943 0.887

(6)
Ag2Sn2Se3: relaxed, PBE.

Values from the calculation:
symmetry = C2/m
formation energy without anion corrections = -0.1775 eV/atom
E = -3.63 eV/atom

Unit cell a=4.081 b=7.763 c=7.081 alpha=110.62 beta=106.75 gamma=90.00
Fractional coordinates of all 7 atoms:
Se 0.000 0.500 0.000
Se 0.304 0.808 0.609
Se 0.696 0.192 0.391
Ag 0.829 0.595 0.658
Ag 0.171 0.405 0.342
Sn 0.638 0.769 0.277
Sn 0.362 0.231 0.723

(7)
Ag2SnSe2: relaxed, PBE.

Values from the calculation:
symmetry = P4/mbm
formation energy without anion corrections = -0.0142 eV/atom
E = -3.35 eV/atom
energy above the most stable polymorph in this dataset = 140 meV/atom

Unit cell a=8.002 b=8.002 c=3.490 alpha=90.00 beta=90.00 gamma=90.00
Fractional coordinates of all 10 atoms:
Sn 0.500 0.500 0.000
Sn 0.000 0.000 0.000
Ag 0.872 0.372 0.500
Ag 0.628 0.872 0.500
Ag 0.128 0.628 0.500
Ag 0.372 0.128 0.500
Se 0.826 0.674 0.000
Se 0.326 0.826 0.000
Se 0.674 0.174 0.000
Se 0.174 0.326 0.000

(8)
AgSnSe: relaxed, PBE.

Values from the calculation:
symmetry = P2_1/c
formation energy without anion corrections = -0.1933 eV/atom
E = -3.64 eV/atom

Unit cell a=7.157 b=6.980 c=7.401 alpha=90.00 beta=122.15 gamma=90.00
Fractional coordinates of all 12 atoms:
Se 0.167 0.621 0.837
Se 0.833 0.379 0.163
Se 0.333 0.121 0.163
Se 0.667 0.879 0.837
Ag 0.541 0.253 0.769
Ag 0.959 0.753 0.231
Ag 0.041 0.247 0.769
Ag 0.459 0.747 0.231
Sn 0.149 0.115 0.409
Sn 0.649 0.385 0.409
Sn 0.351 0.615 0.591
Sn 0.851 0.885 0.591

(9)
Ag2Sn2Se5: relaxed, PBE.

Values from the calculation:
symmetry = Cmce
formation energy without anion corrections = -0.0373 eV/atom
E = -3.50 eV/atom
energy above the most stable polymorph in this dataset = 89 meV/atom

Unit cell a=7.634 b=7.465 c=8.060 alpha=117.59 beta=90.00 gamma=90.00
Fractional coordinates of all 18 atoms:
Se 0.000 0.000 0.000
Se 0.661 0.039 0.718
Se 0.500 0.500 0.000
Se 0.161 0.461 0.282
Se 0.839 0.821 0.282
Se 0.339 0.679 0.718
Se 0.339 0.961 0.282
Se 0.839 0.539 0.718
Se 0.161 0.179 0.718
Se 0.661 0.321 0.282
Sn 0.500 0.704 0.409
Sn 0.000 0.796 0.591
Sn 0.500 0.296 0.591
Sn 0.000 0.204 0.409
Ag 0.630 0.858 0.000
Ag 0.130 0.642 0.000
Ag 0.370 0.142 0.000
Ag 0.870 0.358 0.000

(10)
Ag2Sn2Se: relaxed, PBE.

Values from the calculation:
symmetry = I4/mmm
formation energy without anion corrections = 0.0689 eV/atom
E = -3.37 eV/atom
energy above the most stable polymorph in this dataset = 16 meV/atom

Unit cell a=3.923 b=3.923 c=8.257 alpha=76.26 beta=76.26 gamma=90.00
Fractional coordinates of all 5 atoms:
Sn 0.600 0.600 0.800
Sn 0.400 0.400 0.200
Ag 0.250 0.750 0.500
Ag 0.750 0.250 0.500
Se 0.000 0.000 0.000

(11)
AgSn6Se8: relaxed, PBE.

Values from the calculation:
symmetry = R-3
formation energy without anion corrections = -0.2091 eV/atom
E = -3.86 eV/atom
energy above the most stable polymorph in this dataset = 38 meV/atom

Unit cell a=8.255 b=8.255 c=8.255 alpha=98.90 beta=98.90 gamma=98.90
Fractional coordinates of all 15 atoms:
Sn 0.635 0.467 0.840
Sn 0.533 0.160 0.365
Sn 0.160 0.365 0.533
Sn 0.467 0.840 0.635
Sn 0.365 0.533 0.160
Sn 0.840 0.635 0.467
Se 0.338 0.604 0.842
Se 0.791 0.791 0.791
Se 0.209 0.209 0.209
Se 0.842 0.338 0.604
Se 0.604 0.842 0.338
Se 0.662 0.396 0.158
Se 0.158 0.662 0.396
Se 0.396 0.158 0.662
Ag 0.000 0.000 0.000

(12)
Ag2Sn2Se: relaxed, PBE.

Values from the calculation:
symmetry = P4/mbm
formation energy without anion corrections = 0.0533 eV/atom
E = -3.39 eV/atom
energy above the most stable polymorph in this dataset = 0 meV/atom

Unit cell a=7.403 b=7.403 c=4.282 alpha=90.00 beta=90.00 gamma=90.00
Fractional coordinates of all 10 atoms:
Sn 0.338 0.162 0.500
Sn 0.838 0.338 0.500
Sn 0.662 0.838 0.500
Sn 0.162 0.662 0.500
Ag 0.865 0.635 0.000
Ag 0.135 0.365 0.000
Ag 0.365 0.865 0.000
Ag 0.635 0.135 0.000
Se 0.500 0.500 0.000
Se 0.000 0.000 0.000